[1]
RbCdF3 | GGA-PBE | optimized geometry

Unit cell a=6.365 b=6.365 c=4.499 alpha=90.00 beta=90.00 gamma=90.00
Space group C2 (No. 5)
Inequivalent atoms, fractional coordinates:
Rb 0.000 0.000 0.000 (multiplicity 2)
Cd 0.000 0.500 0.500 (multiplicity 2)
F 0.000 0.497 0.000 (multiplicity 2)
F 0.248 0.752 0.499 (multiplicity 4)

Values from the calculation:
Total moment: 0.0 μB/cell
Raw formation energy: -2.456 eV per atom

[2]
CaCu2Ni | GGA-PBE | optimized geometry

Unit cell a=6.306 b=6.306 c=6.306 alpha=90.00 beta=90.00 gamma=90.00
Space group F-43m (No. 216)
Inequivalent atoms, fractional coordinates:
Ca 0.000 0.000 0.000 (multiplicity 4)
Cu 0.000 0.000 0.500 (multiplicity 4)
Cu 0.250 0.250 0.750 (multiplicity 4)
Ni 0.250 0.250 0.250 (multiplicity 4)

Values from the calculation:
Total moment: 0.0 μB/cell
ΔE to the lowest computed polymorph: 291 meV/atom

[3]
Er2CdBi | GGA-PBE | optimized geometry

Unit cell a=3.969 b=3.969 c=6.867 alpha=90.00 beta=90.00 gamma=90.00
Space group P4/mmm (No. 123)
Inequivalent atoms, fractional coordinates:
Er 0.000 0.000 0.250 (multiplicity 2)
Cd 0.500 0.500 0.000 (multiplicity 1)
Bi 0.500 0.500 0.500 (multiplicity 1)

Values from the calculation:
Total moment: 0.6 μB/cell
ΔE to the lowest computed polymorph: 0 meV/atom

[4]
Ce2DyIr2 | GGA-PBE | optimized geometry

Unit cell a=7.757 b=7.757 c=3.869 alpha=90.00 beta=90.00 gamma=90.00
Space group P4/mbm (No. 127)
Inequivalent atoms, fractional coordinates:
Ce 0.163 0.337 0.000 (multiplicity 4)
Dy 0.000 0.000 0.500 (multiplicity 2)
Ir 0.141 0.641 0.500 (multiplicity 4)

Values from the calculation:
Total moment: 0.0 μB/cell
ΔE to the lowest computed polymorph: 0 meV/atom

[5]
Ti2HPd | GGA-PBE | optimized geometry

Unit cell a=2.804 b=2.804 c=6.418 alpha=90.00 beta=90.00 gamma=90.00
Space group P4/mmm (No. 123)
Inequivalent atoms, fractional coordinates:
Ti 0.000 0.000 0.196 (multiplicity 2)
H 0.500 0.500 0.000 (multiplicity 1)
Pd 0.500 0.500 0.500 (multiplicity 1)

Values from the calculation:
Total moment: 1.0 μB/cell
DFT total energy: -24.84 eV/cell

[6]
PrAlNiPd | GGA-PBE | optimized geometry

Unit cell a=4.3015 b=4.3015 c=14.6677 alpha=90.00 beta=90.00 gamma=120.00
Space group R3m (No. 160, hexagonal axes)
Inequivalent atoms, fractional coordinates:
Pr 0.0000 0.0000 0.0000 (multiplicity 3)
Al 0.0000 0.0000 0.4931 (multiplicity 3)
Ni 0.0000 0.0000 0.7970 (multiplicity 3)
Pd 0.0000 0.0000 0.2050 (multiplicity 3)

Values from the calculation:
Total moment: 0.0 μB/cell
DFT total energy: -66.38 eV/cell

[7]
ReBi2O7 | GGA-PBE | optimized geometry

Unit cell a=5.838 b=7.836 c=8.395 alpha=107.00 beta=90.92 gamma=106.11
Space group P-1 (No. 2)
Inequivalent atoms, fractional coordinates:
Re 0.180 0.156 0.284 (multiplicity 2)
Bi 0.009 0.453 0.697 (multiplicity 2)
Bi 0.442 0.257 0.919 (multiplicity 2)
O 0.041 0.680 0.581 (multiplicity 2)
O 0.054 0.047 0.725 (multiplicity 2)
O 0.135 0.299 0.149 (multiplicity 2)
O 0.289 0.729 0.246 (multiplicity 2)
O 0.327 0.493 0.877 (multiplicity 2)
O 0.356 0.252 0.476 (multiplicity 2)
O 0.381 0.070 0.147 (multiplicity 2)

Values from the calculation:
Total moment: 0.0 μB/cell
Raw formation energy: -1.241 eV per atom

[8]
Tc2AsPdAu | GGA-PBE | optimized geometry

Unit cell a=4.585 b=4.585 c=4.759 alpha=90.00 beta=90.00 gamma=90.00
Space group P4/mmm (No. 123)
Inequivalent atoms, fractional coordinates:
Tc 0.000 0.500 0.000 (multiplicity 2)
As 0.000 0.000 0.000 (multiplicity 1)
Pd 0.500 0.500 0.500 (multiplicity 1)
Au 0.000 0.000 0.500 (multiplicity 1)

Values from the calculation:
Total moment: 2.4 μB/cell
DFT total energy: -28.23 eV/cell

[9]
SmTcMo | GGA-PBE | optimized geometry

Unit cell a=5.396 b=8.839 c=20.359 alpha=90.00 beta=90.00 gamma=90.00
Space group Fddd (No. 70, origin choice 2)
Inequivalent atoms, fractional coordinates:
Sm 0.125 0.300 0.125 (multiplicity 16)
Tc 0.125 0.125 0.000 (multiplicity 16)
Mo 0.125 0.125 0.536 (multiplicity 16)

Values from the calculation:
Total moment: 0.0 μB/cell
ΔE to the lowest computed polymorph: 325 meV/atom

[10]
Nd4IrS2Cl | GGA-PBE | optimized geometry

Unit cell a=7.220 b=4.029 c=7.259 alpha=90.00 beta=108.55 gamma=90.00
Space group P2/m (No. 10)
Inequivalent atoms, fractional coordinates:
Nd 0.232 0.000 0.236 (multiplicity 2)
Nd 0.234 0.500 0.744 (multiplicity 2)
Ir 0.000 0.000 0.500 (multiplicity 1)
S 0.000 0.500 0.000 (multiplicity 1)
S 0.500 0.000 0.000 (multiplicity 1)
Cl 0.500 0.500 0.500 (multiplicity 1)

Values from the calculation:
Total moment: 0.0 μB/cell
Raw formation energy: -1.527 eV per atom

[11]
La3Bi2Pb | GGA-PBE | optimized geometry

Unit cell a=4.698 b=4.698 c=19.928 alpha=90.00 beta=90.00 gamma=90.00
Space group I4/mmm (No. 139)
Inequivalent atoms, fractional coordinates:
La 0.000 0.000 0.000 (multiplicity 2)
La 0.000 0.000 0.333 (multiplicity 4)
Bi 0.000 0.000 0.167 (multiplicity 4)
Pb 0.000 0.000 0.500 (multiplicity 2)

Values from the calculation:
Total moment: 0.0 μB/cell
DFT total energy: -62.71 eV/cell